Entry 1:
# ErNiSb

An optimized crystal structure of ErNiSb (GGA-PBE, OQMD via LeMat-Bulk).

Cell: 7.9791 7.9791 3.6364 Å, 90.00 90.00 120.00°
Last column: nearest neighbours and their distance in Å.
Element x y z (fractional)
Er  0.0000  0.2863  0.0000  4 Sb 2.87-2.92, 4 Ni 3.09
Er  0.2863  0.0000  0.0000  4 Sb 2.87-2.92, 4 Ni 3.09
Er  0.7137  0.7137  0.0000  4 Sb 2.87-2.92, 4 Ni 3.09
Ni  0.0000  0.6657  0.5000  1 Sb 2.67
Ni  0.3343  0.3343  0.5000  1 Sb 2.67
Ni  0.6657  0.0000  0.5000  1 Sb 2.67
Sb  0.0000  0.0000  0.5000  3 Ni 2.67, 6 Er 2.92
Sb  0.3333  0.6667  0.0000  3 Er 2.87
Sb  0.6667  0.3333  0.0000  3 Er 2.87

Summary:
Its space group is No. 189. The calculation puts the volume at 22.3 A^3/atom. For the total DFT energy (no corrections), the calculation gives -44.51 eV/cell.

---

Entry 2:
# ErNiSb

An optimized crystal structure of ErNiSb (GGA-PBE, OQMD via LeMat-Bulk).

Cell: 7.1471 7.1471 4.0757 Å, 90.00 90.00 120.00°
Last column: nearest neighbours and their distance in Å.
Element x y z (fractional)
Er  0.0000  0.6105  0.0000  5 Ni 2.78-3.01
Er  0.3895  0.3895  0.0000  5 Ni 2.78-3.01
Er  0.6105  0.0000  0.0000  5 Ni 2.78-3.01
Ni  0.0000  0.0000  0.0000  3 Er 2.78, 6 Sb 2.84
Ni  0.3333  0.6667  0.5000  3 Sb 2.61
Ni  0.6667  0.3333  0.5000  3 Sb 2.61
Sb  0.0000  0.2769  0.5000  4 Ni 2.61-2.84
Sb  0.2769  0.0000  0.5000  4 Ni 2.61-2.84
Sb  0.7231  0.7231  0.5000  4 Ni 2.61-2.84

Summary:
Its space group is No. 189. The calculation puts the volume at 20.0 A^3/atom. For the total DFT energy (no corrections), the calculation gives -49.45 eV/cell.

---

Density, respectively: 8.6 9.6 g/cm³.